(1)
Entry from OQMD: an optimized crystal structure of BaHgBAu (PBE).

The value obtained for the final energy is -38.23 eV per cell.

It has space group F-43m (No. 216), with a = 7.418 Å, b = 7.418 Å, c = 7.418 Å, α = 90.00°, β = 90.00° and γ = 90.00°. The asymmetric unit holds Ba at (0.000, 0.000, 0.000), Hg at (0.250, 0.250, 0.250), B at (0.000, 0.000, 0.500) and Au at (0.250, 0.250, 0.750).

***

(2)
Entry from OQMD: an optimized crystal structure of Tm3HfC2Se2 (PBE).

The value obtained for the final energy is -58.14 eV per cell.

It has space group P3m1 (No. 156), with a = 3.6142 Å, b = 3.6142 Å, c = 12.9390 Å, α = 90.00°, β = 90.00° and γ = 120.00°. The asymmetric unit holds Tm at (0.0000, 0.0000, 0.0000), Tm at (0.0000, 0.0000, 0.3042), Tm at (0.3333, 0.6667, 0.5052), Hf at (0.3333, 0.6667, 0.8071), C at (0.6667, 0.3333, 0.4069), C at (0.6667, 0.3333, 0.8912), Se at (0.0000, 0.0000, 0.6647) and Se at (0.3333, 0.6667, 0.1503).

***

(3)
Entry from OQMD: an optimized crystal structure of GdSi3Ni4 (PBE).

The value obtained for the final energy is -47.21 eV per cell.

It has space group Pm (No. 6), with a = 5.135 Å, b = 3.823 Å, c = 5.852 Å, α = 90.00°, β = 99.31° and γ = 90.00°. The asymmetric unit holds Gd at (0.000, 0.000, 0.000), Si at (0.130, 0.000, 0.485), Si at (0.513, 0.500, 0.060), Si at (0.665, 0.500, 0.656), Ni at (0.174, 0.500, 0.718), Ni at (0.482, 0.000, 0.790), Ni at (0.545, 0.000, 0.342) and Ni at (0.880, 0.500, 0.351).

***

(4)
Entry from OQMD: an optimized crystal structure of HoGeB4 (PBE).

The value obtained for the final energy is -73.04 eV per cell.

It has space group Immm (No. 71), with a = 3.169 Å, b = 5.144 Å, c = 8.140 Å, α = 90.00°, β = 90.00° and γ = 90.00°. The asymmetric unit holds Ho at (0.000, 0.000, 0.000), Ge at (0.000, 0.000, 0.500) and B at (0.000, 0.325, 0.262).